Below is a relaxed Hf3BiPb crystal, with properties calculated at the PBE level.

abc: 7.6614 7.9523 10.0980
angles: 90.00 126.51 90.00
Last column: nearest neighbours and their distance in Å.
Atoms (fractional coordinates):
Hf: 0.1094 0.1143 0.3165  4 Hf 3.03-3.24, 2 Bi 3.06-3.13, 3 Pb 3.09-3.33
Hf: 0.1094 0.3857 0.8165  4 Hf 3.03-3.24, 2 Bi 3.06-3.13, 3 Pb 3.09-3.33
Hf: 0.1115 0.6709 0.0162  6 Hf 2.93-3.21, 2 Pb 3.04-3.15, 2 Bi 3.11-3.24
Hf: 0.1115 0.8291 0.5162  6 Hf 2.93-3.21, 2 Pb 3.04-3.15, 2 Bi 3.11-3.24
Hf: 0.3552 0.1016 0.7536  3 Hf 2.93-3.24, 2 Bi 2.98-3.26, 1 Pb 3.19
Hf: 0.3552 0.3984 0.2536  3 Hf 2.93-3.24, 2 Bi 2.98-3.26, 1 Pb 3.19
Hf: 0.6448 0.6016 0.7464  3 Hf 2.93-3.24, 2 Bi 2.98-3.26, 1 Pb 3.19
Hf: 0.6448 0.8984 0.2464  3 Hf 2.93-3.24, 2 Bi 2.98-3.26, 1 Pb 3.19
Hf: 0.8885 0.1709 0.4838  6 Hf 2.93-3.21, 2 Pb 3.04-3.15, 2 Bi 3.11-3.24
Hf: 0.8885 0.3291 0.9838  6 Hf 2.93-3.21, 2 Pb 3.04-3.15, 2 Bi 3.11-3.24
Hf: 0.8906 0.6143 0.1835  4 Hf 3.03-3.24, 2 Bi 3.06-3.13, 3 Pb 3.09-3.33
Hf: 0.8906 0.8857 0.6835  4 Hf 3.03-3.24, 2 Bi 3.06-3.13, 3 Pb 3.09-3.33
Bi: 0.2162 0.0668 0.0211  6 Hf 2.98-3.26, 1 Pb 3.21, 1 Bi 3.26
Bi: 0.2162 0.4332 0.5211  6 Hf 2.98-3.26, 1 Pb 3.21, 1 Bi 3.26
Bi: 0.7837 0.5668 0.4789  6 Hf 2.98-3.26, 1 Pb 3.21, 1 Bi 3.26
Bi: 0.7837 0.9332 0.9789  6 Hf 2.98-3.26, 1 Pb 3.21, 1 Bi 3.26
Pb: 0.3781 0.7065 0.8844  8 Hf 3.04-3.37, 1 Bi 3.21
Pb: 0.3781 0.7935 0.3844  8 Hf 3.04-3.37, 1 Bi 3.21
Pb: 0.6219 0.2065 0.6156  8 Hf 3.04-3.37, 1 Bi 3.21
Pb: 0.6219 0.2935 0.1156  8 Hf 3.04-3.37, 1 Bi 3.21

## Properties
Formation energy from the elements, eV per formula unit: 0.41
V, Å³/cell: 494.5
Energy, eV per atom: -7.407
Energy above the lowest structure with this stoichiometry, kJ per mole of atoms: 0.0
DOS at the Fermi energy, states/eV/cell: 13.22
Crystal system: monoclinic